1.
The following is a DFT calculation (PBE) of an optimized crystal structure of BaReAu2.

POSCAR file:
```
BaReAu2
1.0
4.640 -0.009 0.029
2.327 4.014 0.029
2.295 1.319 5.768
Re Au Ba
1 2 1
direct
0.250 0.250 0.250
0.941 0.941 0.177
0.559 0.559 0.323
0.750 0.750 0.750
```

Results
Energy relative to the elements = 0.23 eV per atom
VASP energy = -5.000 eV/atom
SG = No. 12

***

2.
The following is a DFT calculation (PBE) of an optimized crystal structure of MgSc2Co.

POSCAR file:
```
MgSc2Co
1.0
-0.926 2.898 -4.981
1.216 0.667 -5.669
-3.125 -2.100 -2.916
Co Mg Sc
1 1 2
direct
0.504 0.504 0.495
0.797 0.797 0.703
0.001 0.001 0.000
0.198 0.198 0.302
```

Results
Energy relative to the elements = -0.09 eV per atom
VASP energy = -5.427 eV/atom
SG = No. 44

***

3.
The following is a DFT calculation (PBE) of an optimized crystal structure of Nd7SmTl2.

POSCAR file:
```
Nd7SmTl2
1.0
-4.909 -2.026 -1.240
-1.121 -2.696 8.842
-2.849 8.481 -2.583
Nd Sm Tl
7 1 2
direct
0.000 0.776 0.224
0.000 0.224 0.776
0.500 0.062 0.302
0.500 0.938 0.698
0.500 0.302 0.062
0.500 0.698 0.938
0.500 0.500 0.500
0.000 0.000 0.000
0.500 0.694 0.306
0.500 0.306 0.694
```

Results
Energy relative to the elements = 0.33 eV per atom
VASP energy = -3.955 eV/atom
SG = No. 65

***

4.
The following is a DFT calculation (PBE) of an optimized crystal structure of Pm2PrCo9.

POSCAR file:
```
Pm2PrCo9
1.0
-1.888 1.238 4.526
-2.975 -3.256 2.476
4.992 -3.939 5.985
Pm Pr Co
2 1 9
direct
0.860 0.860 0.420
0.140 0.140 0.580
0.000 0.000 0.000
0.666 0.666 0.002
0.334 0.334 0.998
0.500 0.500 0.500
0.420 0.420 0.241
0.919 0.420 0.241
0.420 0.919 0.241
0.580 0.580 0.759
0.580 0.081 0.759
0.081 0.580 0.759
```

Results
Energy relative to the elements = -0.05 eV per atom
VASP energy = -6.574 eV/atom
SG = No. 166

***

What did the fourth record say?
The following is a DFT calculation (PBE) of an optimized crystal structure of Pm2PrCo9.

POSCAR file:
```
Pm2PrCo9
1.0
-1.888 1.238 4.526
-2.975 -3.256 2.476
4.992 -3.939 5.985
Pm Pr Co
2 1 9
direct
0.860 0.860 0.420
0.140 0.140 0.580
0.000 0.000 0.000
0.666 0.666 0.002
0.334 0.334 0.998
0.500 0.500 0.500
0.420 0.420 0.241
0.919 0.420 0.241
0.420 0.919 0.241
0.580 0.580 0.759
0.580 0.081 0.759
0.081 0.580 0.759
```

Results
Energy relative to the elements = -0.05 eV per atom
VASP energy = -6.574 eV/atom
SG = No. 166